a | # BaMn2W

A relaxed BaMn2W crystal (GGA-PBE, the Alexandria database).

a b c (Å): 4.8760 4.8760 8.7726
angles (deg): 73.86 73.86 90.00
Last column: nearest neighbours and their distance in Å.
Positions (direct):
Mn1 0.8750 0.1250 0.2500  2 W 2.36, 2 Mn 2.44
Mn2 0.8750 0.6250 0.2500  2 W 2.36, 2 Mn 2.44
Mn3 0.3750 0.1250 0.7500  2 W 2.36, 2 Mn 2.44
Mn4 0.8750 0.1250 0.7500  2 W 2.36, 2 Mn 2.44
Ba1 0.5000 0.5000 0.0000  8 Mn 3.39, 4 W 3.45
Ba2 0.2500 0.7500 0.5000  8 Mn 3.39, 4 W 3.45
W1 0.0000 0.0000 0.0000  4 Mn 2.36
W2 0.7500 0.2500 0.5000  4 Mn 2.36

Calculated values
Theoretical density, g/cm3: 7.46
Symmetry: I4_1/amd (141)


b | # BaMn2W

A relaxed BaMn2W crystal (GGA-PBE, the Alexandria database).

a b c (Å): 5.0986 5.0986 2.9687
angles (deg): 90.08 90.08 90.10
Last column: nearest neighbours and their distance in Å.
Positions (direct):
Ba1 0.0000 0.5000 0.5000  8 Mn 2.95, 2 Ba 2.97
Mn1 0.0000 0.0000 0.0000  4 W 2.95, 4 Ba 2.95, 2 Mn 2.97
Mn2 0.5000 0.5000 0.0000  4 Ba 2.95, 4 W 2.95, 2 Mn 2.97
W1 0.5000 0.0000 0.5000  8 Mn 2.95, 2 W 2.97

Calculated values
Theoretical density, g/cm3: 9.27
Symmetry: C2/m (12)


c | # BaMn2W

A relaxed BaMn2W crystal (GGA-PBE, the Alexandria database).

a b c (Å): 4.6119 4.6119 4.6119
angles (deg): 60.00 60.00 60.00
Last column: nearest neighbours and their distance in Å.
Positions (direct):
Mn1 0.2500 0.2500 0.2500  4 Ba 2.82, 4 W 2.82
Mn2 0.7500 0.7500 0.7500  4 Ba 2.82, 4 W 2.82
Ba1 0.0000 0.0000 0.0000  8 Mn 2.82
W1 0.5000 0.5000 0.5000  8 Mn 2.82

Calculated values
Theoretical density, g/cm3: 10.32
Symmetry: Fm-3m (225)


Which structure is most stable, and how do the rest compare? From most to least stable: b, a, c.